# 1
# ZrAlS3

An optimized crystal structure of ZrAlS3 (GGA-PBE, Alexandria).

polymorph energy (0 for the lowest one): 0.00 eV/f.u.

Lattice parameters (Å, degrees): 3.615 19.177 6.589 90.00 90.00 90.00
Space group Cmc2_1 (No. 36)
Inequivalent atoms, fractional coordinates:
Zr (0.000, 0.174, 0.000) [4 per cell]
Al (0.000, 0.345, 0.002) [4 per cell]
S (0.000, 0.104, 0.338) [4 per cell]
S (0.000, 0.249, 0.673) [4 per cell]
S (0.000, 0.398, 0.320) [4 per cell]



# 2
# Al6Sb7

An optimized crystal structure of Al6Sb7 (GGA-PBE, Alexandria).

Lattice parameters (Å, degrees): 7.3077 7.3077 23.3324 90.00 90.00 120.00
Space group R-3m (No. 166, hexagonal axes)
Inequivalent atoms, fractional coordinates:
Al (0.0000, 0.0000, 0.0576) [6 per cell]
Al (0.0000, 0.0000, 0.1685) [6 per cell]
Al (0.0000, 0.0000, 0.3403) [6 per cell]
Sb (0.0000, 0.0000, 0.5000) [3 per cell]
Sb (0.0176, 0.5088, 0.9190) [18 per cell]



# 3
# AlSb2

An optimized crystal structure of AlSb2 (GGA-PBE, Alexandria).

Lattice parameters (Å, degrees): 5.1684 5.1684 6.2843 90.00 90.00 120.00
Space group P6_3/mmc (No. 194)
Inequivalent atoms, fractional coordinates:
Al (0.3333, 0.6667, 0.2500) [2 per cell]
Sb (0.0000, 0.0000, 0.0000) [2 per cell]
Sb (0.3333, 0.6667, 0.7500) [2 per cell]



# 4
# AlSb2

An optimized crystal structure of AlSb2 (GGA-PBE, Alexandria).

Lattice parameters (Å, degrees): 3.4158 3.4158 7.9892 90.00 90.00 120.00
Space group P-3m1 (No. 164)
Inequivalent atoms, fractional coordinates:
Al (0.0000, 0.0000, 0.0000) [1 per cell]
Sb (0.3333, 0.6667, 0.7378) [2 per cell]



# 5
# Al5Sb3

An optimized crystal structure of Al5Sb3 (GGA-PBE, Alexandria).

polymorph energy (0 for the lowest one): 0.46 eV/f.u.

Lattice parameters (Å, degrees): 8.2423 8.2423 6.1745 90.00 90.00 120.00
Space group P6_3/mcm (No. 193)
Inequivalent atoms, fractional coordinates:
Al (0.0000, 0.1999, 0.2500) [6 per cell]
Al (0.3333, 0.6667, 0.0000) [4 per cell]
Sb (0.0000, 0.4047, 0.7500) [6 per cell]



# 6
# AlSb2

An optimized crystal structure of AlSb2 (GGA-PBE, Alexandria).

Lattice parameters (Å, degrees): 3.224 4.335 6.315 106.39 90.59 111.33
Space group P-1 (No. 2)
Inequivalent atoms, fractional coordinates:
Al (0.000, 0.000, 0.000) [1 per cell]
Sb (0.364, 0.712, 0.276) [2 per cell]



| no. | raw total energy (eV per atom) | E_form (uncorrected) (eV/f.u.) |
| --- | --- | --- |
| 1 | -6.15 | -6.05 |
| 2 | -3.58 | 4.75 |
| 3 | -3.76 | 0.70 |
| 4 | -3.86 | 0.40 |
| 5 | -3.64 | 1.93 |
| 6 | -3.92 | 0.21 |